Entry 1:
## Ta2TeW (PBE)

Data for a relaxed structure of Ta2TeW.

The space group is P4mm (No. 99) and the conventional cell measures 3.481, 3.481 and 6.277 Å, with angles of 90.00, 90.00 and 90.00 degrees. Symmetry generates all atoms from Ta at (0.000, 0.000, 0.000), Ta at (0.500, 0.500, 0.239), Te at (0.000, 0.000, 0.498) and W at (0.500, 0.500, 0.788).

Its total moment is 0.00 μB per formula unit. For the energy relative to the elements, uncorrected, the calculation gives 1.23 eV per formula unit. For the total energy, the calculation gives -38.57 eV/f.u.


Entry 2:
## TaTe2W (PBE)

Data for a relaxed structure of TaTe2W.

The space group is Cmm2 (No. 35) and the conventional cell measures 3.581, 5.095 and 10.228 Å, with angles of 90.00, 90.00 and 90.00 degrees. Symmetry generates all atoms from Ta at (0.000, 0.000, 0.000), Te at (0.000, 0.000, 0.588), Te at (0.000, 0.500, 0.223) and W at (0.000, 0.500, 0.810).

Its total moment is 0.00 μB per formula unit. The distance to the lowest polymorph of the same formula is 0.3867 eV per atom. For the energy relative to the elements, uncorrected, the calculation gives 1.34 eV per formula unit. For the total energy, the calculation gives -29.75 eV/f.u.


Entry 3:
## Ta2TeW (PBE)

Data for a relaxed structure of Ta2TeW.

The space group is I-42d (No. 122) and the conventional cell measures 4.081, 4.081 and 19.384 Å, with angles of 90.00, 90.00 and 90.00 degrees. Symmetry generates all atoms from Ta at (0.247, 0.250, 0.125), Te at (0.000, 0.000, 0.000) and W at (0.000, 0.000, 0.500).

Its total moment is 0.00 μB per formula unit. For the energy relative to the elements, uncorrected, the calculation gives 3.48 eV per formula unit. For the total energy, the calculation gives -36.32 eV/f.u.


- What is the energy relative to the elements, uncorrected in the third record?
  3.48 eV per formula unit